Crystalline Nd8Cd2Ga at its relaxed geometry, computed with PBE.

Lattice parameters (Å, degrees): 5.357 7.252 9.679 107.26 106.07 90.00
Element x y z (fractional)
Nd 0.661 0.964 0.323
Nd 0.801 0.702 0.603
Nd 0.199 0.298 0.397
Nd 0.339 0.036 0.677
Nd 0.591 0.452 0.181
Nd 0.984 0.229 0.967
Nd 0.016 0.771 0.033
Nd 0.409 0.548 0.819
Cd 0.820 0.288 0.640
Cd 0.180 0.712 0.360
Ga 0.500 0.000 0.000

Properties
SG   C2/m, No. 12
DFT formation energy   -1.84 eV per formula unit
Spin magnetization   0.00 μB per formula unit



Crystalline SrZn3Hg at its relaxed geometry, computed with PBE.

Lattice parameters (Å, degrees): 5.113 5.113 5.113 90.00 90.00 90.00
Element x y z (fractional)
Zn 0.000 0.500 0.000
Zn 0.500 0.000 0.000
Zn 0.000 0.000 0.500
Hg 0.000 0.000 0.000
Sr 0.500 0.500 0.500

Properties
SG   Pm-3m, No. 221
DFT formation energy   0.54 eV per formula unit
Distance to the lowest polymorph of the same formula   1.807 eV per formula unit
Spin magnetization   0.00 μB per formula unit



Crystalline NaSr3Ag at its relaxed geometry, computed with PBE.

Lattice parameters (Å, degrees): 6.382 6.382 6.382 90.00 90.00 90.00
Element x y z (fractional)
Na 0.000 0.000 0.000
Sr 0.000 0.000 0.500
Sr 0.000 0.500 0.000
Sr 0.500 0.000 0.000
Ag 0.500 0.500 0.500

Properties
SG   Pm-3m, No. 221
DFT formation energy   2.41 eV per formula unit
Distance to the lowest polymorph of the same formula   2.945 eV per formula unit
Spin magnetization   0.00 μB per formula unit



Crystalline ThZrH3 at its relaxed geometry, computed with PBE.

Lattice parameters (Å, degrees): 5.556 7.071 6.838 109.99 90.00 90.00
Element x y z (fractional)
H 0.897 0.940 0.834
H 0.603 0.440 0.834
H 0.859 0.795 0.414
H 0.961 0.365 0.088
H 0.641 0.295 0.414
H 0.141 0.205 0.586
H 0.397 0.560 0.166
H 0.103 0.060 0.166
H 0.539 0.865 0.088
H 0.039 0.635 0.912
H 0.461 0.135 0.912
H 0.359 0.705 0.586
Zr 0.250 0.381 0.882
Zr 0.750 0.619 0.118
Zr 0.250 0.881 0.882
Zr 0.750 0.119 0.118
Th 0.747 0.120 0.631
Th 0.253 0.880 0.369
Th 0.247 0.380 0.369
Th 0.753 0.620 0.631

Properties
Uncorrected energy   -5.59 eV/atom
SG   P2_1/c, No. 14
Spin magnetization   0.00 μB per formula unit



Crystalline SiRuO2 at its relaxed geometry, computed with PBE.

Lattice parameters (Å, degrees): 6.481 6.481 6.481 24.47 24.47 24.47
Element x y z (fractional)
O 0.882 0.882 0.882
O 0.118 0.118 0.118
Si 0.500 0.500 0.500
Ru 0.000 0.000 0.000

Properties
SG   R-3m, No. 166
Uncorrected formation energy   -1.0270 eV/atom
Spin magnetization   0.00 μB per formula unit



Crystalline Al2InHg2 at its relaxed geometry, computed with PBE.

Lattice parameters (Å, degrees): 8.217 8.217 3.359 90.00 90.00 90.00
Element x y z (fractional)
Al 0.879 0.621 0.000
Al 0.379 0.879 0.000
Al 0.621 0.121 0.000
Al 0.121 0.379 0.000
Hg 0.322 0.178 0.500
Hg 0.678 0.822 0.500
Hg 0.822 0.322 0.500
Hg 0.178 0.678 0.500
In 0.500 0.500 0.000
In 0.000 0.000 0.000

Properties
SG   P4/mbm, No. 127
DFT formation energy   0.80 eV per formula unit
Distance to the lowest polymorph of the same formula   0.066 eV per formula unit
Spin magnetization   0.00 μB per formula unit



Crystalline LiCd2GaHg6 at its relaxed geometry, computed with PBE.

Lattice parameters (Å, degrees): 8.220 8.071 6.029 50.45 51.64 65.36
Element x y z (fractional)
Ga 0.816 0.835 0.528
Cd 0.576 0.586 0.282
Cd 0.080 0.054 0.792
Hg 0.040 0.423 0.839
Hg 0.954 0.543 0.307
Hg 0.547 0.209 0.311
Hg 0.428 0.694 0.807
Hg 0.691 0.089 0.801
Hg 0.213 0.914 0.314
Li 0.316 0.314 0.033

Properties
SG   P1, No. 1
DFT formation energy   -0.30 eV per formula unit
Spin magnetization   0.00 μB per formula unit



Crystalline CsInP3 at its relaxed geometry, computed with PBE.

Lattice parameters (Å, degrees): 5.633 5.633 5.633 90.00 90.00 90.00
Element x y z (fractional)
P 0.500 0.000 0.000
P 0.000 0.000 0.500
P 0.000 0.500 0.000
In 0.500 0.500 0.500
Cs 0.000 0.000 0.000

Properties
SG   Pm-3m, No. 221
DFT formation energy   9.15 eV per formula unit
Distance to the lowest polymorph of the same formula   5.720 eV per formula unit
Spin magnetization   2.26 μB per formula unit



Crystalline CeHoPb2 at its relaxed geometry, computed with PBE.

Lattice parameters (Å, degrees): 3.643 3.643 10.572 80.08 80.08 60.00
Element x y z (fractional)
Pb 0.247 0.247 0.258
Pb 0.753 0.753 0.742
Ce 0.000 0.000 0.000
Ho 0.500 0.500 0.500

Properties
SG   R-3m, No. 166
DFT formation energy   -1.11 eV per formula unit
Spin magnetization   0.98 μB per formula unit



Crystalline LiHoSi2Pd4 at its relaxed geometry, computed with PBE.

Lattice parameters (Å, degrees): 4.185 4.185 8.660 76.02 76.02 60.00
Element x y z (fractional)
Ho 0.000 0.000 0.000
Pd 0.403 0.403 0.791
Pd 0.133 0.133 0.600
Pd 0.867 0.867 0.400
Pd 0.597 0.597 0.209
Li 0.500 0.500 0.500
Si 0.761 0.761 0.716
Si 0.239 0.239 0.284

Properties
SG   R-3m, No. 166
Uncorrected formation energy   -0.7461 eV/atom
Spin magnetization   0.00 μB per formula unit



Crystalline ScMnTl2 at its relaxed geometry, computed with PBE.

Lattice parameters (Å, degrees): 5.067 5.067 5.067 60.00 60.00 60.00
Element x y z (fractional)
Mn 0.500 0.500 0.500
Tl 0.750 0.750 0.750
Tl 0.000 0.000 0.000
Sc 0.250 0.250 0.250

Properties
SG   F-43m, No. 216
DFT formation energy   1.39 eV per formula unit
Spin magnetization   3.73 μB per formula unit



Crystalline Hf3ReN3 at its relaxed geometry, computed with PBE.

Lattice parameters (Å, degrees): 6.132 6.132 7.819 66.91 66.91 60.00
Element x y z (fractional)
N 0.571 0.194 0.369
N 0.429 0.806 0.631
N 0.865 0.571 0.369
N 0.135 0.429 0.631
N 0.806 0.135 0.631
N 0.194 0.865 0.369
Hf 0.756 0.461 0.690
Hf 0.244 0.539 0.310
Hf 0.461 0.093 0.690
Hf 0.907 0.244 0.310
Hf 0.539 0.907 0.310
Hf 0.093 0.756 0.690
Re 0.666 0.666 0.001
Re 0.334 0.334 0.999

Properties
SG   R-3, No. 148
Uncorrected formation energy   -0.6798 eV/atom
Spin magnetization   0.51 μB per formula unit